DFT (PBE with a Hubbard U) results for a relaxed structure of SmAlCr2O6.

```
SmAlCr2O6
1.0
2.6245 1.5153 4.6160
-2.6245 1.5153 4.6160
0.0000 -3.0305 4.6160
Sm Al Cr O
1 1 2 6
Cartesian
0.0000 0.0000 0.0000
0.0000 0.0000 6.5130
0.0000 0.0000 3.7139
0.0000 0.0000 10.7729
-1.4284 -0.2746 5.1732
-0.9277 -1.5207 7.3391
0.9520 -1.0997 5.1732
-0.8531 1.5638 7.3391
0.4764 1.3743 5.1732
1.7808 -0.0431 7.3391
```

## Properties
M_tot: 6.000 μB/cell
uncorrected energy: -0.288 hartree per atom